(1)
Compound: CrCdIn2
Source: Alexandria
Functional: PBE
Structure: relaxed

The structure in CIF format:
```
data_CrCdIn2
_chemical_formula_sum 'Cr1 Cd1 In2'
_cell_length_a 3.3866
_cell_length_b 4.1618
_cell_length_c 6.1384
_cell_angle_alpha 90.00
_cell_angle_beta 90.00
_cell_angle_gamma 90.00
_symmetry_space_group_name_H-M 'P m m m'
_symmetry_Int_Tables_number 47
_symmetry_space_group_name_Hall '-P 2 2'
loop_
_atom_site_label
_atom_site_type_symbol
_atom_site_fract_x
_atom_site_fract_y
_atom_site_fract_z
Cr1 Cr 0.0000 0.0000 0.0000
Cd1 Cd 0.0000 0.0000 0.5000
In1 In 0.5000 0.5000 0.2393
```

Properties
**Electronic total energy**: -14.85 eV per cell
**Calculated volume**: 21.63 Å³/atom
**D(E_F)**: 2.313 states/eV/cell
**ΔH_f (0 K)**: 28.0 kJ per mole of atoms



(2)
Compound: MnSi2Sb
Source: Alexandria
Functional: PBE
Structure: relaxed

The structure in CIF format:
```
data_MnSi2Sb
_chemical_formula_sum 'Mn1 Si2 Sb1'
_cell_length_a 3.0192
_cell_length_b 3.0192
_cell_length_c 7.4549
_cell_angle_alpha 90.00
_cell_angle_beta 90.00
_cell_angle_gamma 90.00
_symmetry_space_group_name_H-M 'P 4 m m'
_symmetry_Int_Tables_number 99
_symmetry_space_group_name_Hall 'P 4 -2'
loop_
_atom_site_label
_atom_site_type_symbol
_atom_site_fract_x
_atom_site_fract_y
_atom_site_fract_z
Mn1 Mn 0.0000 0.0000 0.0000
Si1 Si 0.0000 0.0000 0.6586
Si2 Si 0.5000 0.5000 0.8544
Sb1 Sb 0.5000 0.5000 0.2488
```

Properties
**Uncorrected formation energy**: 169 meV per atom
**Electronic total energy**: -23.46 eV per cell
**Calculated volume**: 16.99 Å³/atom
**D(E_F)**: 1.425 states/eV/cell



(3)
Compound: Sm4CdCu
Source: Alexandria
Functional: PBE
Structure: relaxed

The structure in CIF format:
```
data_Sm4CdCu
_chemical_formula_sum 'Sm8 Cd2 Cu2'
_cell_length_a 6.3581
_cell_length_b 9.1067
_cell_length_c 6.1222
_cell_angle_alpha 90.00
_cell_angle_beta 106.26
_cell_angle_gamma 90.00
_symmetry_space_group_name_H-M 'P 1 21/c 1'
_symmetry_Int_Tables_number 14
_symmetry_space_group_name_Hall '-P 2ybc'
loop_
_atom_site_label
_atom_site_type_symbol
_atom_site_fract_x
_atom_site_fract_y
_atom_site_fract_z
Sm1 Sm 0.1058 0.1691 0.1223
Sm2 Sm 0.3737 0.6547 0.9269
Cd1 Cd 0.5000 0.0000 0.0000
Cu1 Cu 0.0000 0.0000 0.5000
```

Properties
**Electronic total energy**: -47.60 eV per cell
**Calculated volume**: 28.36 Å³/atom
**D(E_F)**: 12.287 states/eV/cell
**ΔH_f (0 K)**: 1.4 kJ per mole of atoms



(4)
Compound: Sn3BO
Source: Alexandria
Functional: PBE
Structure: relaxed

The structure in CIF format:
```
data_Sn3BO
_chemical_formula_sum 'Sn3 B1 O1'
_cell_length_a 4.7622
_cell_length_b 4.7622
_cell_length_c 4.7622
_cell_angle_alpha 90.00
_cell_angle_beta 90.00
_cell_angle_gamma 90.00
_symmetry_space_group_name_H-M 'P m -3 m'
_symmetry_Int_Tables_number 221
_symmetry_space_group_name_Hall '-P 4 2 3'
loop_
_atom_site_label
_atom_site_type_symbol
_atom_site_fract_x
_atom_site_fract_y
_atom_site_fract_z
Sn1 Sn 0.0000 0.0000 0.5000
B1 B 0.5000 0.5000 0.5000
O1 O 0.0000 0.0000 0.0000
```

Properties
**Uncorrected formation energy**: 572 meV per atom
**Electronic total energy**: -20.78 eV per cell
**Calculated volume**: 21.60 Å³/atom
**D(E_F)**: 2.554 states/eV/cell



(5)
Compound: La2SmY
Source: Alexandria
Functional: PBE
Structure: relaxed

The structure in CIF format:
```
data_La2SmY
_chemical_formula_sum 'La4 Sm2 Y2'
_cell_length_a 7.3985
_cell_length_b 10.1772
_cell_length_c 3.7172
_cell_angle_alpha 90.00
_cell_angle_beta 90.00
_cell_angle_gamma 90.00
_symmetry_space_group_name_H-M 'C m m m'
_symmetry_Int_Tables_number 65
_symmetry_space_group_name_Hall '-C 2 2'
loop_
_atom_site_label
_atom_site_type_symbol
_atom_site_fract_x
_atom_site_fract_y
_atom_site_fract_z
La1 La 0.2500 0.2500 0.0000
Sm1 Sm 0.0000 0.0000 0.5000
Y1 Y 0.0000 0.5000 0.5000
```

Properties
**Electronic total energy**: -41.92 eV per cell
**Calculated volume**: 34.99 Å³/atom
**D(E_F)**: 13.779 states/eV/cell
**ΔH_f (0 K)**: 1.9 kJ per mole of atoms



(6)
Compound: Tb8Hg2Os3
Source: Alexandria
Functional: PBE
Structure: relaxed

The structure in CIF format:
```
data_Tb8Hg2Os3
_chemical_formula_sum 'Tb8 Hg2 Os3'
_cell_length_a 8.8491
_cell_length_b 4.8973
_cell_length_c 8.8491
_cell_angle_alpha 90.00
_cell_angle_beta 112.61
_cell_angle_gamma 90.00
_symmetry_space_group_name_H-M 'P 1 2/m 1'
_symmetry_Int_Tables_number 10
_symmetry_space_group_name_Hall '-P 2y'
loop_
_atom_site_label
_atom_site_type_symbol
_atom_site_fract_x
_atom_site_fract_y
_atom_site_fract_z
Tb1 Tb 0.1086 0.0000 0.3911
Tb2 Tb 0.1427 0.5000 0.8640
Tb3 Tb 0.3629 0.5000 0.6427
Tb4 Tb 0.3877 0.0000 0.1127
Hg1 Hg 0.2437 0.5000 0.2565
Os1 Os 0.2494 0.0000 0.7498
Os2 Os 0.5000 0.5000 0.0000
```

Properties
**Electronic total energy**: -74.27 eV per cell
**Calculated volume**: 27.23 Å³/atom
**D(E_F)**: 10.284 states/eV/cell
**ΔH_f (0 K)**: -21.8 kJ per mole of atoms